(1)
Pr4Cd5Ni2 (PBE, optimized geometry); spin magnetization = 0.00 μB/cell; E_form = -0.30 eV per atom
1.0
3.767 0.000 0.000
0.000 7.799 0.033
0.000 -0.712 9.614
Pr Cd Ni
4 5 2
Cartesian
1.884 5.641 5.364 Pr
1.884 0.697 8.148 Pr
1.884 1.447 4.283 Pr
1.884 6.390 1.499 Pr
0.000 4.085 3.065 Cd
0.000 1.331 1.466 Cd
0.000 3.899 0.016 Cd
0.000 5.757 8.181 Cd
0.000 3.002 6.582 Cd
0.000 0.049 6.043 Ni
0.000 7.038 3.604 Ni

---

(2)
Ba2LiInRh2 (PBE, optimized geometry); spin magnetization = 0.00 μB/cell; E_form = -0.24 eV per atom
1.0
6.058 0.000 0.000
0.000 6.412 0.000
-3.029 -3.206 8.116
Ba Li In Rh
4 2 2 4
Cartesian
1.469 0.000 2.713 Ba
1.560 3.206 5.403 Ba
-1.560 0.000 5.403 Ba
4.589 3.206 2.713 Ba
0.000 4.809 0.000 Li
0.000 1.603 0.000 Li
3.029 4.809 0.000 In
3.029 1.603 0.000 In
4.489 0.000 1.701 Rh
1.570 3.206 1.701 Rh
1.459 0.000 6.416 Rh
-1.459 3.206 6.416 Rh

---

(3)
AcCuTe3 (PBE, optimized geometry); E_form (uncorrected) = -0.58 eV/atom; spin magnetization = 0.00 μB/cell
1.0
5.278 0.000 0.000
0.000 5.278 0.000
0.000 0.000 5.278
Ac Te Cu
1 3 1
Cartesian
2.639 2.639 2.639 Ac
0.000 2.639 0.000 Te
0.000 0.000 2.639 Te
2.639 0.000 0.000 Te
0.000 0.000 0.000 Cu

---

(4)
LaAg2BiH (PBE, optimized geometry); total DFT energy (no corrections) = -3.845 eV per atom; spin magnetization = 0.00 μB/cell
1.0
-0.542 3.251 3.307
-4.545 0.291 -1.031
-0.954 -3.447 3.232
H Bi Ag La
1 1 2 1
Cartesian
0.000 0.000 0.000 H
-3.020 0.047 2.754 Bi
-2.272 0.145 -0.516 Ag
-0.271 1.625 1.654 Ag
-0.477 -1.724 1.616 La

---

(5)
Ac2PuS3F3 (PBE, optimized geometry); E_form (uncorrected) = -2.51 eV/atom; spin magnetization = 4.98 μB/cell
1.0
-3.432 -0.901 1.871
-0.697 -6.149 -4.241
3.658 -0.349 6.541
Ac Pu S F
2 1 3 3
Cartesian
-0.962 -4.666 0.289 Ac
0.490 -2.733 3.882 Ac
0.000 0.000 0.000 Pu
-2.236 -5.037 -2.228 S
1.012 -0.711 5.814 S
-0.964 -2.102 1.520 S
1.697 -3.725 1.319 F
1.561 -0.149 2.791 F
-0.298 -2.624 -1.810 F

---

(6)
Pm3ErAg (PBE, optimized geometry); spin magnetization = 0.00 μB/cell; E_form = 0.05 eV per atom
1.0
7.128 -0.045 -0.591
-1.994 6.844 0.591
-3.314 -2.835 6.872
Pm Er Ag
6 2 2
Cartesian
3.153 6.073 1.409 Pm
0.156 2.104 1.409 Pm
1.665 1.859 5.463 Pm
3.751 2.505 1.172 Pm
-1.332 -2.110 5.463 Pm
-1.931 1.458 5.700 Pm
2.211 -1.670 4.869 Er
-0.391 5.633 2.003 Er
1.805 3.975 3.155 Ag
0.016 -0.012 3.716 Ag

---

(7)
Zr2Hg2Ir (PBE, optimized geometry); spin magnetization = 0.00 μB/cell; E_form = 0.01 eV per atom
1.0
7.274 0.000 0.000
0.000 7.274 0.000
0.000 0.000 3.899
Ir Hg Zr
2 4 4
Cartesian
0.000 0.000 0.000 Ir
3.637 3.637 0.000 Ir
2.656 6.293 0.000 Hg
6.293 4.618 0.000 Hg
4.618 0.981 0.000 Hg
0.981 2.656 0.000 Hg
1.251 4.888 1.949 Zr
4.888 6.023 1.949 Zr
6.023 2.386 1.949 Zr
2.386 1.251 1.949 Zr

---

(8)
CaTaI2 (PBE, optimized geometry); E_form (uncorrected) = 0.29 eV/atom; spin magnetization = 0.48 μB/cell
1.0
0.000 3.659 3.659
3.659 0.000 3.659
3.659 3.659 0.000
I Ca Ta
2 1 1
Cartesian
1.829 1.829 1.829 I
5.488 5.488 5.488 I
0.000 0.000 0.000 Ca
3.659 3.659 3.659 Ta

---

(9)
VFe3Si (PBE, optimized geometry); E_form (uncorrected) = 1.17 eV/atom; spin magnetization = 4.81 μB/cell
1.0
-3.484 1.854 1.565
0.308 -2.378 3.503
2.407 2.988 1.817
Si Fe V
1 3 1
Cartesian
-0.385 1.232 3.443 Si
0.154 -1.189 1.752 Fe
1.203 1.494 0.909 Fe
-1.742 0.927 0.782 Fe
0.000 0.000 0.000 V

---

(10)
PmSm6Dy4 (PBE, optimized geometry); spin magnetization = 0.00 μB/cell; E_form = 0.12 eV per atom
1.0
-1.543 -3.232 4.631
4.593 -1.246 -3.039
14.221 15.120 15.292
Pm Sm Dy
2 12 8
Cartesian
4.965 0.530 5.725 Pm
12.306 10.112 11.158 Pm
-0.772 -1.616 2.315 Sm
6.339 5.944 9.961 Sm
5.445 4.134 4.700 Sm
11.826 6.508 12.183 Sm
13.779 8.584 14.283 Sm
3.492 2.058 2.600 Sm
7.167 2.717 7.985 Sm
10.104 7.925 8.899 Sm
14.337 12.426 13.450 Sm
2.934 -1.784 3.433 Sm
6.969 1.223 3.176 Sm
10.302 9.419 13.707 Sm
9.644 4.587 10.115 Dy
5.205 -0.735 1.222 Dy
7.627 6.055 6.768 Dy
12.066 11.377 15.662 Dy
15.521 10.835 16.435 Dy
1.750 -0.193 0.448 Dy
8.447 7.528 11.770 Dy
8.824 3.114 5.114 Dy

---

(11)
Sm4Cd3Ag (PBE, optimized geometry); spin magnetization = 0.76 μB/cell; E_form = -0.30 eV per atom
1.0
3.785 0.000 0.000
0.000 3.785 0.000
0.000 0.000 15.168
Ag Sm Cd
1 4 3
Cartesian
1.893 1.893 0.000 Ag
0.000 0.000 13.349 Sm
0.000 0.000 1.819 Sm
0.000 0.000 5.661 Sm
0.000 0.000 9.507 Sm
1.893 1.893 3.759 Cd
1.893 1.893 7.584 Cd
1.893 1.893 11.408 Cd

---

(12)
TbNd2Sm5Dy (PBE, optimized geometry); spin magnetization = 0.00 μB/cell; E_form = 0.27 eV per atom
1.0
-6.121 5.350 -3.029
-4.474 -6.808 -2.985
1.355 0.221 10.074
Tb Nd Sm Dy
2 4 10 2
Cartesian
-4.208 -3.658 2.041 Tb
-5.031 2.421 2.019 Tb
-2.434 -1.947 -1.498 Nd
-4.330 2.501 -2.235 Nd
-6.265 -3.958 -3.779 Nd
-8.160 0.490 -4.516 Nd
-7.223 2.112 -1.248 Sm
-3.640 2.620 4.831 Sm
-2.016 -3.349 5.308 Sm
-0.241 0.459 6.571 Sm
-5.414 -1.188 3.568 Sm
-8.998 -1.696 -2.511 Sm
-3.825 -0.049 0.493 Sm
-5.600 -3.857 -0.771 Sm
-5.297 -0.729 -3.007 Sm
0.000 0.000 0.000 Sm
-1.971 -0.254 3.534 Dy
-7.268 -0.983 0.527 Dy

---

(13)
BaTc2Ir (PBE, optimized geometry); spin magnetization = 0.00 μB/cell; E_form = 0.34 eV per atom
1.0
-3.560 0.452 -2.579
0.232 -0.623 -4.369
-2.345 -5.839 -1.460
Ba Ir Tc
1 1 2
Cartesian
-4.255 -4.507 -6.307 Ba
-1.418 -1.502 -2.102 Ir
-3.563 -1.216 -6.817 Tc
-2.602 -1.959 -4.336 Tc

---

(14)
TiIn2Br2Cl4 (PBE, optimized geometry); E_form (uncorrected) = -1.15 eV/atom; spin magnetization = 0.00 μB/cell
1.0
7.315 1.122 0.763
2.559 6.713 0.340
2.559 2.781 6.119
Ti In Br Cl
1 2 2 4
Cartesian
3.658 0.561 0.382 Ti
5.843 7.471 5.083 In
6.590 3.144 2.139 In
2.567 2.460 1.674 Br
9.866 8.155 5.548 Br
4.708 5.736 1.683 Cl
7.726 6.943 2.504 Cl
7.726 4.879 5.539 Cl
4.708 3.672 4.718 Cl

---

(15)
CaTl2Ag9 (PBE, optimized geometry); spin magnetization = 0.00 μB/cell; E_form = -0.03 eV per atom
1.0
-4.400 3.303 -1.288
-4.259 -2.049 -3.098
-7.230 -2.332 6.329
Ca Tl Ag
1 2 9
Cartesian
0.000 0.000 0.000 Ca
-10.502 0.088 -1.080 Tl
-5.388 -1.165 3.024 Tl
-13.003 -1.496 3.406 Ag
-2.887 0.418 -1.461 Ag
-7.945 -0.539 0.972 Ag
-5.407 -0.062 -0.238 Ag
-7.622 1.599 -0.886 Ag
-7.551 -1.093 -1.797 Ag
-10.482 -1.015 2.183 Ag
-8.339 0.015 3.741 Ag
-8.268 -2.677 2.831 Ag

---

(16)
TiAlTc (PBE, optimized geometry); spin magnetization = 0.00 μB/cell; E_form = -0.45 eV per atom
1.0
5.982 2.891 1.840
4.202 7.714 2.716
2.129 3.063 3.843
Ti Al Tc
2 2 2
Cartesian
1.629 1.807 1.950 Ti
9.363 10.465 6.685 Ti
6.049 6.833 5.327 Al
4.943 5.439 3.308 Al
8.336 8.834 4.838 Tc
2.656 3.437 3.798 Tc

---

(17)
ScIn2Hg2 (PBE, optimized geometry); spin magnetization = 0.00 μB/cell; E_form = -0.05 eV per atom
1.0
-4.685 5.006 -3.794
-6.227 -4.324 1.984
-0.424 2.160 3.374
Sc Hg In
2 4 4
Cartesian
0.000 0.000 0.000 Sc
-5.456 0.341 -0.905 Sc
-7.101 -1.913 0.331 Hg
-8.006 1.589 -2.024 Hg
-3.811 2.595 -2.140 Hg
-2.906 -0.907 0.215 Hg
-5.196 -0.965 2.369 In
-8.518 0.858 0.784 In
-6.141 3.807 -0.804 In
-2.819 1.984 0.781 In

---

(18)
Sr3NdTl4 (PBE, optimized geometry); spin magnetization = 0.00 μB/cell; E_form = -0.41 eV per atom
1.0
4.027 0.000 0.000
0.000 4.027 0.000
0.000 0.000 16.368
Sr Tl Nd
3 4 1
Cartesian
2.013 2.013 4.017 Sr
2.013 2.013 8.184 Sr
2.013 2.013 12.352 Sr
0.000 0.000 14.496 Tl
0.000 0.000 1.872 Tl
0.000 0.000 6.116 Tl
0.000 0.000 10.252 Tl
2.013 2.013 0.000 Nd

---

(19)
Pu3CdHg5 (PBE, optimized geometry); spin magnetization = 36.04 μB/cell; E_form = -0.08 eV per atom
1.0
-2.668 -5.690 0.351
3.610 -2.204 -8.277
4.781 -1.763 7.774
Pu Cd Hg
6 2 10
Cartesian
1.108 -5.737 0.076 Pu
1.008 -5.377 5.156 Pu
0.270 -5.654 -4.946 Pu
4.614 -3.919 -0.229 Pu
4.715 -4.279 -5.308 Pu
0.671 -2.239 -2.980 Pu
0.000 0.000 0.000 Cd
-1.334 -2.845 0.175 Cd
4.001 -2.057 -2.927 Hg
3.056 -4.754 2.598 Hg
4.390 -1.910 2.423 Hg
2.666 -4.902 -2.751 Hg
3.941 -7.076 -0.093 Hg
3.004 -6.985 -5.745 Hg
-0.948 -4.910 -2.153 Hg
1.782 -2.580 -0.060 Hg
2.719 -2.671 5.592 Hg
1.889 -2.983 -5.774 Hg

---

(20)
GeOs (PBE, optimized geometry); spin magnetization = 0.00 μB/cell; E_form = 0.22 eV per atom
1.0
2.991 0.000 0.000
-1.495 2.590 0.000
0.000 0.000 23.059
Ge Os
6 6
Cartesian
0.000 0.000 13.711 Ge
0.000 1.727 6.024 Ge
1.495 0.863 21.397 Ge
0.000 0.000 9.873 Ge
0.000 1.727 2.187 Ge
1.495 0.863 17.559 Ge
0.000 0.000 0.308 Os
0.000 1.727 15.681 Os
1.495 0.863 7.994 Os
0.000 0.000 4.059 Os
0.000 1.727 19.432 Os
1.495 0.863 11.745 Os

---

(21)
KMg (PBE, optimized geometry); spin magnetization = 0.00 μB/cell; E_form = 0.19 eV per atom
1.0
1.953 6.357 0.441
-1.953 6.357 0.441
0.000 2.872 10.383
K Mg
3 3
Cartesian
0.000 15.071 11.211 K
0.000 8.771 2.862 K
0.000 5.341 4.907 K
0.000 14.301 7.391 Mg
0.000 10.192 8.046 Mg
0.000 6.071 8.766 Mg

---

(22)
SrNdGaSi (PBE, optimized geometry); E_form (uncorrected) = -0.54 eV/atom; spin magnetization = 0.00 μB/cell
1.0
4.580 0.000 0.000
0.000 4.129 0.000
-2.290 0.000 5.749
Sr Nd Ga Si
1 1 1 1
Cartesian
0.000 0.000 1.659 Sr
2.290 2.065 4.205 Nd
2.290 2.065 0.719 Ga
0.000 0.000 4.915 Si

---

(23)
Pr4AlAu3 (PBE, optimized geometry); spin magnetization = 0.00 μB/cell; E_form = -0.65 eV per atom
1.0
3.944 0.000 0.000
0.000 4.751 0.000
0.000 0.000 11.607
Pr Al Au
4 1 3
Cartesian
1.972 2.375 4.175 Pr
0.000 2.375 9.935 Pr
0.000 0.000 1.693 Pr
1.972 0.000 7.405 Pr
1.972 2.375 0.864 Al
0.000 2.375 6.772 Au
0.000 0.000 4.870 Au
1.972 0.000 10.713 Au